No. 1
## Ba2SrZr2O7 (PBE-GGA)

Data for an optimized crystal structure of Ba2SrZr2O7.

Unit cell a=11.3828 b=11.3828 c=11.3828 alpha=158.60 beta=158.60 gamma=30.45
Atoms (fractional coordinates):
Ba 0.1853 0.1853 0.0000
Ba 0.8147 0.8147 0.0000
Sr 0.0000 0.0000 0.0000
Zr 0.4042 0.4042 0.0000
Zr 0.5958 0.5958 0.0000
O 0.0933 0.5933 0.5000
O 0.3070 0.3070 0.0000
O 0.4067 0.9067 0.5000
O 0.5000 0.5000 0.0000
O 0.5933 0.0933 0.5000
O 0.6930 0.6930 0.0000
O 0.9067 0.4067 0.5000

Summary:
uncorrected formation energy	-37.20	eV/f.u.
density of states at the Fermi level	0.00	states/eV per cell
volume	196.23	Å³ per cell
spin magnetization	0.0	Bohr magnetons per cell
crystal system	tetragonal

No. 2
## CoTe2SeN (PBE-GGA)

Data for an optimized crystal structure of CoTe2SeN.

Unit cell a=4.6285 b=4.6285 c=4.5397 alpha=90.00 beta=90.00 gamma=90.00
Atoms (fractional coordinates):
Co 0.0000 0.0000 0.0000
Te 0.0000 0.5000 0.5000
Te 0.5000 0.0000 0.5000
Se 0.5000 0.5000 0.0000
N 0.5000 0.5000 0.5000

Summary:
uncorrected formation energy	5.36	eV/f.u.
density of states at the Fermi level	5.25	states/eV per cell
volume	97.25	Å³ per cell
spin magnetization	2.5	Bohr magnetons per cell
crystal system	tetragonal

No. 3
## Rb2BaNbI6 (PBE-GGA)

Data for an optimized crystal structure of Rb2BaNbI6.

Unit cell a=8.8554 b=8.8554 c=8.8554 alpha=60.00 beta=60.00 gamma=60.00
Atoms (fractional coordinates):
Rb 0.2500 0.2500 0.2500
Rb 0.7500 0.7500 0.7500
Ba 0.0000 0.0000 0.0000
Nb 0.5000 0.5000 0.5000
I 0.2679 0.2679 0.7321
I 0.2679 0.7321 0.2679
I 0.2679 0.7321 0.7321
I 0.7321 0.2679 0.2679
I 0.7321 0.2679 0.7321
I 0.7321 0.7321 0.2679

Summary:
uncorrected formation energy	-10.87	eV/f.u.
density of states at the Fermi level	0.00	states/eV per cell
volume	491.03	Å³ per cell
spin magnetization	3.0	Bohr magnetons per cell
crystal system	cubic

No. 4
## TbPuThSn (PBE-GGA)

Data for an optimized crystal structure of TbPuThSn.

Unit cell a=5.3878 b=5.3878 c=5.3878 alpha=60.00 beta=60.00 gamma=60.00
Atoms (fractional coordinates):
Tb 0.0000 0.0000 0.0000
Pu 0.5000 0.5000 0.5000
Th 0.2500 0.2500 0.2500
Sn 0.7500 0.7500 0.7500

Summary:
density of states at the Fermi level	11.44	states/eV per cell
volume	110.59	Å³ per cell
spin magnetization	6.9	Bohr magnetons per cell
formation enthalpy at 0 K	-0.09	eV per atom
crystal system	cubic

No. 5
## SrEu2BeO5 (PBE-GGA)

Data for an optimized crystal structure of SrEu2BeO5.

Unit cell a=9.5941 b=6.6399 c=7.2270 alpha=90.00 beta=90.00 gamma=90.00
Atoms (fractional coordinates):
Sr 0.1739 0.0884 0.0000
Sr 0.3261 0.5884 0.5000
Sr 0.6739 0.4116 0.0000
Sr 0.8261 0.9116 0.5000
Eu 0.0214 0.5860 0.7672
Eu 0.1734 0.0832 0.5413
Eu 0.3266 0.5832 0.0413
Eu 0.4786 0.0860 0.2672
Eu 0.5214 0.9140 0.7672
Eu 0.6734 0.4168 0.5413
Eu 0.8266 0.9168 0.0413
Eu 0.9786 0.4140 0.2672
Be 0.1006 0.8105 0.2685
Be 0.3994 0.3105 0.7685
Be 0.6006 0.6895 0.2685
Be 0.8994 0.1895 0.7685
O 0.0083 0.0189 0.2684
O 0.0665 0.6928 0.4598
O 0.0701 0.6862 0.0779
O 0.2157 0.3392 0.2709
O 0.2275 0.3722 0.7697
O 0.2725 0.8722 0.2697
O 0.2843 0.8392 0.7709
O 0.4299 0.1862 0.5779
O 0.4335 0.1928 0.9598
O 0.4917 0.5189 0.7684
O 0.5083 0.4811 0.2684
O 0.5665 0.8072 0.4598
O 0.5701 0.8138 0.0779
O 0.7157 0.1608 0.2709
O 0.7275 0.1278 0.7697
O 0.7725 0.6278 0.2697
O 0.7843 0.6608 0.7709
O 0.9299 0.3138 0.5779
O 0.9335 0.3072 0.9598
O 0.9917 0.9811 0.7684

Summary:
uncorrected formation energy	-24.36	eV/f.u.
density of states at the Fermi level	53.33	states/eV per cell
volume	460.39	Å³ per cell
spin magnetization	48.0	Bohr magnetons per cell
crystal system	orthorhombic

No. 6
## Sr5Pb4 (PBE-GGA)

Data for an optimized crystal structure of Sr5Pb4.

Unit cell a=8.5950 b=17.5152 c=9.0986 alpha=90.00 beta=90.00 gamma=90.00
Atoms (fractional coordinates):
Sr 0.0126 0.0950 0.1811
Sr 0.0126 0.4050 0.1811
Sr 0.1516 0.7500 0.5060
Sr 0.1768 0.1221 0.6704
Sr 0.1768 0.3779 0.6704
Sr 0.3232 0.6221 0.1704
Sr 0.3232 0.8779 0.1704
Sr 0.3484 0.2500 0.0060
Sr 0.4874 0.5950 0.6811
Sr 0.4874 0.9050 0.6811
Sr 0.5126 0.0950 0.3189
Sr 0.5126 0.4050 0.3189
Sr 0.6516 0.7500 0.9940
Sr 0.6768 0.1221 0.8296
Sr 0.6768 0.3779 0.8296
Sr 0.8232 0.6221 0.3296
Sr 0.8232 0.8779 0.3296
Sr 0.8484 0.2500 0.4940
Sr 0.9874 0.5950 0.8189
Sr 0.9874 0.9050 0.8189
Pb 0.0241 0.7500 0.1069
Pb 0.1634 0.5411 0.4723
Pb 0.1634 0.9589 0.4723
Pb 0.2290 0.2500 0.3624
Pb 0.2710 0.7500 0.8624
Pb 0.3366 0.0411 0.9723
Pb 0.3366 0.4589 0.9723
Pb 0.4759 0.2500 0.6069
Pb 0.5241 0.7500 0.3931
Pb 0.6634 0.5411 0.0277
Pb 0.6634 0.9589 0.0277
Pb 0.7290 0.2500 0.1376
Pb 0.7710 0.7500 0.6376
Pb 0.8366 0.0411 0.5277
Pb 0.8366 0.4589 0.5277
Pb 0.9759 0.2500 0.8931

Summary:
density of states at the Fermi level	43.25	states/eV per cell
volume	1369.72	Å³ per cell
spin magnetization	0.0	Bohr magnetons per cell
formation enthalpy at 0 K	-0.52	eV per atom
crystal system	orthorhombic

No. 7
## MnNiBi2H (PBE-GGA)

Data for an optimized crystal structure of MnNiBi2H.

Unit cell a=5.0291 b=5.0291 c=4.7518 alpha=90.00 beta=90.00 gamma=90.00
Atoms (fractional coordinates):
Mn 0.0000 0.0000 0.0000
Ni 0.0000 0.0000 0.5000
Bi 0.0000 0.5000 0.5000
Bi 0.5000 0.0000 0.5000
H 0.5000 0.5000 0.0000

Summary:
density of states at the Fermi level	3.67	states/eV per cell
E_tot	-0.3220	Ry per atom
volume	120.18	Å³ per cell
spin magnetization	4.4	Bohr magnetons per cell
crystal system	tetragonal

No. 8
## LiCu2Pt (PBE-GGA)

Data for an optimized crystal structure of LiCu2Pt.

Unit cell a=4.2135 b=4.2135 c=4.2135 alpha=60.00 beta=60.00 gamma=60.00
Atoms (fractional coordinates):
Li 0.0000 0.0000 0.0000
Cu 0.2500 0.2500 0.2500
Cu 0.7500 0.7500 0.7500
Pt 0.5000 0.5000 0.5000

Summary:
density of states at the Fermi level	0.95	states/eV per cell
volume	52.89	Å³ per cell
spin magnetization	0.0	Bohr magnetons per cell
formation enthalpy at 0 K	-0.25	eV per atom
crystal system	cubic

No. 9
## Zr2BeAu (PBE-GGA)

Data for an optimized crystal structure of Zr2BeAu.

Unit cell a=3.1234 b=3.1234 c=7.4703 alpha=90.00 beta=90.00 gamma=90.00
Atoms (fractional coordinates):
Zr 0.0000 0.0000 0.0000
Zr 0.5000 0.5000 0.3021
Be 0.5000 0.5000 0.7381
Au 0.0000 0.0000 0.5902

Summary:
density of states at the Fermi level	2.26	states/eV per cell
volume	72.88	Å³ per cell
spin magnetization	0.0	Bohr magnetons per cell
formation enthalpy at 0 K	-0.20	eV per atom
crystal system	tetragonal

No. 10
## ZnPt2W (PBE-GGA)

Data for an optimized crystal structure of ZnPt2W.

Unit cell a=3.9174 b=3.9174 c=4.0074 alpha=90.00 beta=90.00 gamma=90.00
Atoms (fractional coordinates):
Zn 0.0000 0.0000 0.0000
Pt 0.0000 0.5000 0.5000
Pt 0.5000 0.0000 0.5000
W 0.5000 0.5000 0.0000

Summary:
density of states at the Fermi level	3.20	states/eV per cell
volume	61.50	Å³ per cell
spin magnetization	0.7	Bohr magnetons per cell
formation enthalpy at 0 K	0.02	eV per atom
crystal system	tetragonal

No. 11
## Sr2ScMn (PBE-GGA)

Data for an optimized crystal structure of Sr2ScMn.

Unit cell a=5.7227 b=5.7227 c=5.7227 alpha=60.00 beta=60.00 gamma=60.00
Atoms (fractional coordinates):
Sr 0.2500 0.2500 0.2500
Sr 0.7500 0.7500 0.7500
Sc 0.0000 0.0000 0.0000
Mn 0.5000 0.5000 0.5000

Summary:
density of states at the Fermi level	6.34	states/eV per cell
volume	132.52	Å³ per cell
spin magnetization	3.9	Bohr magnetons per cell
formation enthalpy at 0 K	0.59	eV per atom
crystal system	cubic

No. 12
## BeReB (PBE-GGA)

Data for an optimized crystal structure of BeReB.

Unit cell a=3.6648 b=3.6648 c=3.6648 alpha=60.00 beta=60.00 gamma=60.00
Atoms (fractional coordinates):
Be 0.0000 0.0000 0.0000
Re 0.7500 0.7500 0.7500
B 0.5000 0.5000 0.5000

Summary:
density of states at the Fermi level	2.53	states/eV per cell
volume	34.81	Å³ per cell
spin magnetization	0.5	Bohr magnetons per cell
formation enthalpy at 0 K	0.86	eV per atom
crystal system	cubic

No. 13
## HoMgNiRh (PBE-GGA)

Data for an optimized crystal structure of HoMgNiRh.

Unit cell a=4.6055 b=4.6055 c=4.6055 alpha=60.00 beta=60.00 gamma=60.00
Atoms (fractional coordinates):
Ho 0.0000 0.0000 0.0000
Mg 0.5000 0.5000 0.5000
Ni 0.7500 0.7500 0.7500
Rh 0.2500 0.2500 0.2500

Summary:
density of states at the Fermi level	3.21	states/eV per cell
volume	69.07	Å³ per cell
spin magnetization	0.0	Bohr magnetons per cell
formation enthalpy at 0 K	-0.50	eV per atom
crystal system	cubic

No. 14
## Nd2Pu2Pd15 (PBE-GGA)

Data for an optimized crystal structure of Nd2Pu2Pd15.

Unit cell a=7.1285 b=7.1285 c=7.1285 alpha=81.22 beta=81.22 gamma=81.22
Atoms (fractional coordinates):
Nd 0.1426 0.1426 0.1426
Nd 0.8574 0.8574 0.8574
Pu 0.4010 0.4010 0.4010
Pu 0.5990 0.5990 0.5990
Pd 0.0000 0.5000 0.5000
Pd 0.1535 0.1535 0.6618
Pd 0.1535 0.6618 0.1535
Pd 0.1865 0.5000 0.8135
Pd 0.1865 0.8135 0.5000
Pd 0.3382 0.8465 0.8465
Pd 0.5000 0.0000 0.5000
Pd 0.5000 0.1865 0.8135
Pd 0.5000 0.5000 0.0000
Pd 0.5000 0.8135 0.1865
Pd 0.6618 0.1535 0.1535
Pd 0.8135 0.1865 0.5000
Pd 0.8135 0.5000 0.1865
Pd 0.8465 0.3382 0.8465
Pd 0.8465 0.8465 0.3382

Summary:
density of states at the Fermi level	36.70	states/eV per cell
volume	350.69	Å³ per cell
spin magnetization	10.2	Bohr magnetons per cell
formation enthalpy at 0 K	-0.47	eV per atom
crystal system	trigonal

No. 15
## Cd3W4 (PBE-GGA)

Data for an optimized crystal structure of Cd3W4.

Unit cell a=5.2115 b=5.2115 c=5.2469 alpha=90.00 beta=90.00 gamma=120.00
Atoms (fractional coordinates):
Cd 0.0000 0.5000 0.0000
Cd 0.5000 0.0000 0.0000
Cd 0.5000 0.5000 0.0000
W 0.0000 0.0000 0.2733
W 0.0000 0.0000 0.7267
W 0.3333 0.6667 0.5000
W 0.6667 0.3333 0.5000

Summary:
density of states at the Fermi level	6.70	states/eV per cell
volume	123.41	Å³ per cell
spin magnetization	0.0	Bohr magnetons per cell
formation enthalpy at 0 K	0.92	eV per atom
crystal system	hexagonal

No. 16
## Mg5Zn4Pb (PBE-GGA)

Data for an optimized crystal structure of Mg5Zn4Pb.

Unit cell a=3.3995 b=3.3995 c=17.0293 alpha=90.00 beta=90.00 gamma=90.00
Atoms (fractional coordinates):
Mg 0.0000 0.0000 0.0000
Mg 0.0000 0.0000 0.1826
Mg 0.0000 0.0000 0.3682
Mg 0.0000 0.0000 0.6318
Mg 0.0000 0.0000 0.8174
Zn 0.5000 0.5000 0.0934
Zn 0.5000 0.5000 0.2732
Zn 0.5000 0.5000 0.7268
Zn 0.5000 0.5000 0.9066
Pb 0.5000 0.5000 0.5000

Summary:
density of states at the Fermi level	4.00	states/eV per cell
volume	196.80	Å³ per cell
spin magnetization	0.0	Bohr magnetons per cell
formation enthalpy at 0 K	-0.06	eV per atom
crystal system	tetragonal

No. 17
## InSnS2Cl (PBE-GGA)

Data for an optimized crystal structure of InSnS2Cl.

Unit cell a=8.2286 b=4.0773 c=10.1235 alpha=90.00 beta=91.10 gamma=90.00
Atoms (fractional coordinates):
In 0.0604 0.2500 0.3688
In 0.9396 0.7500 0.6312
Sn 0.2386 0.2500 0.9778
Sn 0.7614 0.7500 0.0222
S 0.0166 0.7500 0.8632
S 0.1894 0.7500 0.4779
S 0.8106 0.2500 0.5221
S 0.9834 0.2500 0.1368
Cl 0.3642 0.7500 0.1388
Cl 0.6358 0.2500 0.8612

Summary:
uncorrected formation energy	-3.16	eV/f.u.
density of states at the Fermi level	0.00	states/eV per cell
volume	339.58	Å³ per cell
spin magnetization	0.0	Bohr magnetons per cell
crystal system	monoclinic

No. 18
## LaHoTe3Pd (PBE-GGA)

Data for an optimized crystal structure of LaHoTe3Pd.

Unit cell a=8.3066 b=4.2913 c=10.1727 alpha=90.00 beta=102.13 gamma=90.00
Atoms (fractional coordinates):
La 0.1932 0.2500 0.2903
La 0.8068 0.7500 0.7097
Ho 0.3187 0.7500 0.8232
Ho 0.6813 0.2500 0.1768
Te 0.0751 0.2500 0.8625
Te 0.2698 0.7500 0.5272
Te 0.4098 0.7500 0.1451
Te 0.5902 0.2500 0.8549
Te 0.7302 0.2500 0.4728
Te 0.9249 0.7500 0.1375
Pd 0.0832 0.2500 0.5954
Pd 0.9168 0.7500 0.4046

Summary:
uncorrected formation energy	-7.90	eV/f.u.
density of states at the Fermi level	0.95	states/eV per cell
volume	354.52	Å³ per cell
spin magnetization	0.0	Bohr magnetons per cell
crystal system	monoclinic

No. 19
## ZnPd3F9 (PBE-GGA)

Data for an optimized crystal structure of ZnPd3F9.

Unit cell a=7.0501 b=7.0501 c=10.4117 alpha=104.99 beta=104.99 gamma=75.85
Atoms (fractional coordinates):
Zn 0.0056 0.9944 0.5000
Zn 0.9944 0.0056 0.0000
Pd 0.1593 0.5955 0.1610
Pd 0.3337 0.8561 0.7974
Pd 0.5573 0.7889 0.3496
Pd 0.5955 0.1593 0.6610
Pd 0.7889 0.5573 0.8496
Pd 0.8561 0.3337 0.2974
F 0.0505 0.4710 0.9690
F 0.0711 0.1334 0.3855
F 0.1157 0.3656 0.2140
F 0.1334 0.0711 0.8855
F 0.1350 0.8149 0.6180
F 0.2056 0.8277 0.1041
F 0.3017 0.7058 0.3508
F 0.3656 0.1157 0.7140
F 0.4710 0.0505 0.4690
F 0.5215 0.8617 0.9682
F 0.5326 0.6312 0.7160
F 0.6312 0.5326 0.2160
F 0.7058 0.3017 0.8508
F 0.8079 0.8717 0.3474
F 0.8149 0.1350 0.1180
F 0.8277 0.2056 0.6041
F 0.8617 0.5215 0.4682
F 0.8717 0.8079 0.8474

Summary:
uncorrected formation energy	-17.84	eV/f.u.
density of states at the Fermi level	10.25	states/eV per cell
volume	474.07	Å³ per cell
spin magnetization	2.2	Bohr magnetons per cell
crystal system	monoclinic

No. 20
## Ac6As5P (PBE-GGA)

Data for an optimized crystal structure of Ac6As5P.

Unit cell a=7.8545 b=7.8545 c=7.8544 alpha=99.59 beta=99.59 gamma=120.00
Atoms (fractional coordinates):
Ac 0.0828 0.4124 0.7483
Ac 0.2470 0.2470 0.2522
Ac 0.4124 0.0828 0.7483
Ac 0.5876 0.9172 0.2517
Ac 0.7530 0.7530 0.7478
Ac 0.9172 0.5876 0.2517
As 0.1672 0.8328 0.0000
As 0.3333 0.6667 0.5000
As 0.5000 0.5000 0.0000
As 0.6667 0.3333 0.5000
As 0.8328 0.1672 0.0000
P 0.0000 0.0000 0.5000

Summary:
density of states at the Fermi level	0.51	states/eV per cell
volume	395.64	Å³ per cell
spin magnetization	0.0	Bohr magnetons per cell
formation enthalpy at 0 K	-1.48	eV per atom
crystal system	monoclinic

No. 21
## Ti3Al3Pd2 (PBE-GGA)

Data for an optimized crystal structure of Ti3Al3Pd2.

Unit cell a=8.1820 b=8.1820 c=8.1820 alpha=151.57 beta=151.17 gamma=40.94
Atoms (fractional coordinates):
Ti 0.0000 0.0000 0.0000
Ti 0.1264 0.6264 0.5000
Ti 0.8736 0.3736 0.5000
Al 0.3671 0.8671 0.5000
Al 0.5000 0.5000 0.0000
Al 0.6329 0.1329 0.5000
Pd 0.2477 0.2477 0.0000
Pd 0.7523 0.7523 0.0000

Summary:
density of states at the Fermi level	7.90	states/eV per cell
volume	125.50	Å³ per cell
spin magnetization	0.4	Bohr magnetons per cell
formation enthalpy at 0 K	-0.56	eV per atom
crystal system	orthorhombic